No. 1
PrNd2Eu: relaxed, PBE.

V, A^3/atom: 36.92
Formation enthalpy at 0 K, eV per atom: 0.04
Energy above the lowest structure with this stoichiometry, meV/atom: 0

a b c (Å): 3.733 3.733 10.597
angles (deg): 90.00 90.00 90.00
Space group P4/mmm (No. 123)
Unique sites:
Pr (0.000, 0.000, 0.000) [1 per cell]
Nd (0.500, 0.500, 0.239) [2 per cell]
Eu (0.000, 0.000, 0.500) [1 per cell]

No. 2
CaNbTl2O6: relaxed, PBE.

V, A^3/atom: 19.03
Raw formation energy, eV/atom: -1.727

a b c (Å): 12.152 8.466 7.823
angles (deg): 90.00 108.92 90.00
Space group C2/c (No. 15)
Unique sites:
Ca (0.000, 0.223, 0.250) [4 per cell]
Nb (0.000, 0.161, 0.750) [4 per cell]
Tl (0.167, 0.493, 0.585) [8 per cell]
O (0.000, 0.288, 0.549) [8 per cell]
O (0.122, 0.017, 0.814) [8 per cell]
O (0.157, 0.398, 0.327) [8 per cell]

No. 3
Sc7Al2Zn2: relaxed, PBE.

V, A^3/atom: 23.06
Formation enthalpy at 0 K, eV per atom: 0.00

a b c (Å): 7.134 10.203 6.969
angles (deg): 90.00 90.00 90.00
Space group Cmmm (No. 65)
Unique sites:
Sc (0.000, 0.000, 0.000) [2 per cell]
Sc (0.000, 0.500, 0.256) [4 per cell]
Sc (0.250, 0.250, 0.284) [8 per cell]
Al (0.177, 0.000, 0.500) [4 per cell]
Zn (0.000, 0.288, 0.000) [4 per cell]

The records above yield ρ values of 6.536, 5.564, 3.270 g cm⁻³, respectively.
The records above yield VASP energy values of -24.45, -63.83, -54.35 eV/f.u., respectively.